The following is a DFT calculation (PBE-GGA) of a relaxed Er5Zn2Tc crystal.

## Properties
The calculated volume is 23.73 Å³/atom. For the density of states at the Fermi level, the calculation gives 7.47 states/eV/f.u. Its uncorrected energy is -74.6 eV/cell. The value obtained for the total magnetization is 0.00 Bohr magnetons per cell. The value obtained for the formation enthalpy at 0 K is -18.8 kJ/mol of atoms.

```
data_Er5Zn2Tc
_symmetry_space_group_name_H-M 'P b a m'
_symmetry_Int_Tables_number 55
_cell_length_a 6.3984
_cell_length_b 11.9916
_cell_length_c 4.9490
_cell_angle_alpha 90.00
_cell_angle_beta 90.00
_cell_angle_gamma 90.00
loop_
_symmetry_equiv_pos_as_xyz
'x,y,z'
'-x,-y,-z'
'-x,-y,z'
'x,y,-z'
'x+1/2,-y+1/2,-z'
'-x+1/2,y+1/2,z'
'-x+1/2,y+1/2,-z'
'x+1/2,-y+1/2,z'
loop_
_atom_site_label
_atom_site_fract_x
_atom_site_fract_y
_atom_site_fract_z
_atom_site_occupancy
Er1 0.0000 0.0000 0.0000 1
Er2 0.1419 0.2845 0.0000 1
Er3 0.1609 0.6049 0.5000 1
Zn1 0.1283 0.8635 0.5000 1
Tc1 0.0000 0.5000 0.0000 1
```

=====

The following is a DFT calculation (PBE-GGA) of a relaxed Er12Zn6Tc crystal.

## Properties
The calculated volume is 24.84 Å³/atom. For the density of states at the Fermi level, the calculation gives 17.58 states/eV/f.u. Its uncorrected energy is -223.1 eV/cell. The value obtained for the total magnetization is 0.00 Bohr magnetons per cell. The value obtained for the formation enthalpy at 0 K is -8.2 kJ/mol of atoms.

```
data_Er12Zn6Tc
_symmetry_space_group_name_H-M 'R -3'
_symmetry_Int_Tables_number 148
_symmetry_space_group_name_Hall '-R 3'
_cell_length_a 11.0240
_cell_length_b 11.0240
_cell_length_c 13.4503
_cell_angle_alpha 90.00
_cell_angle_beta 90.00
_cell_angle_gamma 120.00
loop_
_atom_site_label
_atom_site_fract_x
_atom_site_fract_y
_atom_site_fract_z
_atom_site_occupancy
Er1 0.0251 0.1846 0.3469 1
Er2 0.0523 0.8469 0.9023 1
Zn1 0.0222 0.4223 0.2156 1
Tc1 0.0000 0.0000 0.5000 1
```

=====

The following is a DFT calculation (PBE-GGA) of a relaxed Er2ZnTc3 crystal.

## Properties
The calculated volume is 18.21 Å³/atom. For the density of states at the Fermi level, the calculation gives 4.63 states/eV/f.u. Its uncorrected energy is -86.2 eV/cell. The value obtained for the total magnetization is 0.00 Bohr magnetons per cell. The value obtained for the formation enthalpy at 0 K is -25.5 kJ/mol of atoms.

```
data_Er2ZnTc3
_symmetry_space_group_name_H-M 'C 1 2/m 1'
_symmetry_Int_Tables_number 12
_cell_length_a 9.1242
_cell_length_b 5.2725
_cell_length_c 5.4682
_cell_angle_alpha 90.00
_cell_angle_beta 123.84
_cell_angle_gamma 90.00
loop_
_symmetry_equiv_pos_as_xyz
'x,y,z'
'-x,-y,-z'
'-x,y,-z'
'x,-y,z'
'x+1/2,y+1/2,z'
'-x+1/2,-y+1/2,-z'
'-x+1/2,y+1/2,-z'
'x+1/2,-y+1/2,z'
loop_
_atom_site_label
_atom_site_fract_x
_atom_site_fract_y
_atom_site_fract_z
_atom_site_occupancy
Er1 0.1210 0.0000 0.3634 1
Zn1 0.0000 0.5000 0.5000 1
Tc1 0.0000 0.5000 0.0000 1
Tc2 0.2500 0.2500 0.0000 1
```

=====

The following is a DFT calculation (PBE-GGA) of a relaxed Er6Zn2Tc crystal.

## Properties
The calculated volume is 24.60 Å³/atom. For the density of states at the Fermi level, the calculation gives 7.57 states/eV/f.u. Its uncorrected energy is -166.9 eV/cell. The value obtained for the total magnetization is 0.00 Bohr magnetons per cell. The value obtained for the formation enthalpy at 0 K is -15.3 kJ/mol of atoms.

```
data_Er6Zn2Tc
_symmetry_space_group_name_H-M 'I m m m'
_symmetry_Int_Tables_number 71
_symmetry_space_group_name_Hall '-I 2 2'
_cell_length_a 9.3380
_cell_length_b 9.5982
_cell_length_c 9.8804
_cell_angle_alpha 90.00
_cell_angle_beta 90.00
_cell_angle_gamma 90.00
loop_
_atom_site_label
_atom_site_fract_x
_atom_site_fract_y
_atom_site_fract_z
_atom_site_occupancy
Er1 0.0000 0.1762 0.2484 1
Er2 0.1724 0.5000 0.2301 1
Er3 0.2361 0.3093 0.5000 1
Zn1 0.0000 0.3639 0.0000 1
Zn2 0.1300 0.0000 0.5000 1
Tc1 0.0000 0.0000 0.0000 1
Tc2 0.0000 0.5000 0.5000 1
```

=====

The following is a DFT calculation (PBE-GGA) of a relaxed Er2Zn15Tc2 crystal.

## Properties
The calculated volume is 15.88 Å³/atom. For the density of states at the Fermi level, the calculation gives 10.13 states/eV/f.u. Its uncorrected energy is -156.4 eV/cell. The value obtained for the total magnetization is 0.00 Bohr magnetons per cell. The value obtained for the formation enthalpy at 0 K is -16.0 kJ/mol of atoms.

```
data_Er2Zn15Tc2
_symmetry_space_group_name_H-M 'R -3 m'
_symmetry_Int_Tables_number 166
_symmetry_space_group_name_Hall '-R 3 2"'
_cell_length_a 8.9795
_cell_length_b 8.9795
_cell_length_c 12.9628
_cell_angle_alpha 90.00
_cell_angle_beta 90.00
_cell_angle_gamma 120.00
loop_
_atom_site_label
_atom_site_fract_x
_atom_site_fract_y
_atom_site_fract_z
_atom_site_occupancy
Er1 0.0000 0.0000 0.1617 1
Zn1 0.0000 0.2923 0.5000 1
Zn2 0.0000 0.5000 0.0000 1
Zn3 0.9995 0.4998 0.3491 1
Tc1 0.0000 0.0000 0.4078 1
```

=====

The following is a DFT calculation (PBE-GGA) of a relaxed Er6ZnTc2 crystal.

## Properties
The calculated volume is 24.98 Å³/atom. For the density of states at the Fermi level, the calculation gives 8.61 states/eV/f.u. Its uncorrected energy is -203.0 eV/cell. The value obtained for the total magnetization is 0.00 Bohr magnetons per cell. The value obtained for the formation enthalpy at 0 K is -14.6 kJ/mol of atoms.

```
data_Er6ZnTc2
_symmetry_space_group_name_H-M 'I m m m'
_symmetry_Int_Tables_number 71
_symmetry_space_group_name_Hall '-I 2 2'
_cell_length_a 9.3230
_cell_length_b 9.3901
_cell_length_c 10.2728
_cell_angle_alpha 90.00
_cell_angle_beta 90.00
_cell_angle_gamma 90.00
loop_
_atom_site_label
_atom_site_fract_x
_atom_site_fract_y
_atom_site_fract_z
_atom_site_occupancy
Er1 0.0000 0.1859 0.1669 1
Er2 0.1830 0.2265 0.5000 1
Er3 0.1968 0.5000 0.2509 1
Zn1 0.0000 0.5000 0.0000 1
Zn2 0.0000 0.5000 0.5000 1
Tc1 0.0000 0.0000 0.3852 1
Tc2 0.1829 0.0000 0.0000 1
```

=====

The following is a DFT calculation (PBE-GGA) of a relaxed Er5Zn4Tc crystal.

## Properties
The calculated volume is 21.66 Å³/atom. For the density of states at the Fermi level, the calculation gives 11.05 states/eV/f.u. Its uncorrected energy is -41.2 eV/cell. The value obtained for the total magnetization is 0.00 Bohr magnetons per cell. The value obtained for the formation enthalpy at 0 K is -28.1 kJ/mol of atoms.

```
data_Er5Zn4Tc
_symmetry_space_group_name_H-M 'P 4/m m m'
_symmetry_Int_Tables_number 123
_symmetry_space_group_name_Hall '-P 4 2'
_cell_length_a 3.5059
_cell_length_b 3.5059
_cell_length_c 17.6252
_cell_angle_alpha 90.00
_cell_angle_beta 90.00
_cell_angle_gamma 90.00
loop_
_atom_site_label
_atom_site_fract_x
_atom_site_fract_y
_atom_site_fract_z
_atom_site_occupancy
Er1 0.0000 0.0000 0.0000 1
Er2 0.0000 0.0000 0.2020 1
Er3 0.0000 0.0000 0.4092 1
Zn1 0.5000 0.5000 0.1010 1
Zn2 0.5000 0.5000 0.3039 1
Tc1 0.5000 0.5000 0.5000 1
```

=====

The following is a DFT calculation (PBE-GGA) of a relaxed ErZn11Tc crystal.

## Properties
The calculated volume is 15.95 Å³/atom. For the density of states at the Fermi level, the calculation gives 6.08 states/eV/f.u. Its uncorrected energy is -61.1 eV/cell. The value obtained for the total magnetization is 0.00 Bohr magnetons per cell. The value obtained for the formation enthalpy at 0 K is -11.8 kJ/mol of atoms.

```
data_ErZn11Tc
_symmetry_space_group_name_H-M 'C 1 2/m 1'
_symmetry_Int_Tables_number 12
_cell_length_a 5.2259
_cell_length_b 13.0406
_cell_length_c 6.5413
_cell_angle_alpha 90.00
_cell_angle_beta 111.50
_cell_angle_gamma 90.00
loop_
_symmetry_equiv_pos_as_xyz
'x,y,z'
'-x,-y,-z'
'-x,y,-z'
'x,-y,z'
'x+1/2,y+1/2,z'
'-x+1/2,-y+1/2,-z'
'-x+1/2,y+1/2,-z'
'x+1/2,-y+1/2,z'
loop_
_atom_site_label
_atom_site_fract_x
_atom_site_fract_y
_atom_site_fract_z
_atom_site_occupancy
Er1 0.0000 0.0000 0.0000 1
Zn1 0.0000 0.5000 0.5000 1
Zn2 0.1133 0.3897 0.2166 1
Zn3 0.1571 0.1721 0.3570 1
Zn4 0.2500 0.2500 0.0000 1
Tc1 0.0000 0.0000 0.5000 1
```

=====

The following is a DFT calculation (PBE-GGA) of a relaxed ErZrTc2 crystal.

## Properties
The calculated volume is 18.79 Å³/atom. For the density of states at the Fermi level, the calculation gives 5.92 states/eV/f.u. Its uncorrected energy is -34.3 eV/cell. The value obtained for the total magnetization is 0.00 Bohr magnetons per cell. The value obtained for the formation enthalpy at 0 K is -10.5 kJ/mol of atoms.

```
data_ErZrTc2
_symmetry_space_group_name_H-M 'P 4/m m m'
_symmetry_Int_Tables_number 123
_symmetry_space_group_name_Hall '-P 4 2'
_cell_length_a 3.3369
_cell_length_b 3.3369
_cell_length_c 6.7497
_cell_angle_alpha 90.00
_cell_angle_beta 90.00
_cell_angle_gamma 90.00
loop_
_atom_site_label
_atom_site_fract_x
_atom_site_fract_y
_atom_site_fract_z
_atom_site_occupancy
Er1 0.0000 0.0000 0.0000 1
Zr1 0.0000 0.0000 0.5000 1
Tc1 0.5000 0.5000 0.2665 1
```

=====

The following is a DFT calculation (PBE-GGA) of a relaxed Er2ZrTc crystal.

## Properties
The calculated volume is 24.24 Å³/atom. For the density of states at the Fermi level, the calculation gives 5.01 states/eV/f.u. Its uncorrected energy is -80.0 eV/cell. The value obtained for the total magnetization is 0.00 Bohr magnetons per cell. The value obtained for the formation enthalpy at 0 K is 33.3 kJ/mol of atoms.

```
data_Er2ZrTc
_symmetry_space_group_name_H-M 'R -3 m'
_symmetry_Int_Tables_number 166
_symmetry_space_group_name_Hall '-R 3 2"'
_cell_length_a 3.2543
_cell_length_b 3.2543
_cell_length_c 31.7162
_cell_angle_alpha 90.00
_cell_angle_beta 90.00
_cell_angle_gamma 120.00
loop_
_atom_site_label
_atom_site_fract_x
_atom_site_fract_y
_atom_site_fract_z
_atom_site_occupancy
Er1 0.0000 0.0000 0.1009 1
Zr1 0.0000 0.0000 0.0000 1
Tc1 0.0000 0.0000 0.5000 1
```

=====

The following is a DFT calculation (PBE-GGA) of a relaxed ErTe crystal.

## Properties
Its uncorrected formation energy is -0.03 eV per atom. The calculated volume is 34.26 Å³/atom. For the density of states at the Fermi level, the calculation gives 2.27 states/eV/f.u. Its uncorrected energy is -7.8 eV/cell. The value obtained for the total magnetization is 0.00 Bohr magnetons per cell.

```
data_ErTe
_symmetry_space_group_name_H-M 'P 4/m m m'
_symmetry_Int_Tables_number 123
_symmetry_space_group_name_Hall '-P 4 2'
_cell_length_a 3.3717
_cell_length_b 3.3717
_cell_length_c 6.0267
_cell_angle_alpha 90.00
_cell_angle_beta 90.00
_cell_angle_gamma 90.00
loop_
_atom_site_label
_atom_site_fract_x
_atom_site_fract_y
_atom_site_fract_z
_atom_site_occupancy
Er1 0.0000 0.0000 0.0000 1
Te1 0.0000 0.0000 0.5000 1
```

=====

The following is a DFT calculation (PBE-GGA) of a relaxed Er7Te5 crystal.

## Properties
Its uncorrected formation energy is -0.91 eV per atom. The calculated volume is 29.24 Å³/atom. For the density of states at the Fermi level, the calculation gives 9.89 states/eV/f.u. Its uncorrected energy is -117.1 eV/cell. The value obtained for the total magnetization is 0.00 Bohr magnetons per cell.

```
data_Er7Te5
_symmetry_space_group_name_H-M 'C 1 2/m 1'
_symmetry_Int_Tables_number 12
_cell_length_a 13.6723
_cell_length_b 4.0104
_cell_length_c 13.2263
_cell_angle_alpha 90.00
_cell_angle_beta 104.61
_cell_angle_gamma 90.00
loop_
_symmetry_equiv_pos_as_xyz
'x,y,z'
'-x,-y,-z'
'-x,y,-z'
'x,-y,z'
'x+1/2,y+1/2,z'
'-x+1/2,-y+1/2,-z'
'-x+1/2,y+1/2,-z'
'x+1/2,-y+1/2,z'
loop_
_atom_site_label
_atom_site_fract_x
_atom_site_fract_y
_atom_site_fract_z
_atom_site_occupancy
Er1 0.0000 0.0000 0.0000 1
Er2 0.0062 0.5000 0.7209 1
Er3 0.1680 0.0000 0.5572 1
Er4 0.2492 0.5000 0.1621 1
Te1 0.0000 0.5000 0.5000 1
Te2 0.1343 0.5000 0.9358 1
Te3 0.1728 0.0000 0.3126 1
```

=====

Q: Among the records above, which one has the lowest uncorrected energy?
A: Er12Zn6Tc